1.
Here is a geometry-optimized YZrCr2 structure from Alexandria. Energies are from PBE.

Calculated values
DOS at the Fermi energy = 5.07 states/eV per cell
Volume = 79.4 Å³/f.u.
Size of the total moment = 1.13 μB/cell
Polymorph energy (0 for the lowest one) = 0.254 eV per atom

POSCAR file:
```
YZrCr2
1.0
4.8241 0.0000 0.0000
2.4121 4.1778 0.0000
2.4121 1.3926 3.9389
Zr Cr Y
1 2 1
direct
0.7500 0.7500 0.7500
0.0000 0.0000 0.0000
0.2500 0.2500 0.2500
0.5000 0.5000 0.5000
```

2.
Here is a geometry-optimized YZrCr2 structure from Alexandria. Energies are from PBE.

Calculated values
DOS at the Fermi energy = 3.13 states/eV per cell
Volume = 78.2 Å³/f.u.
Size of the total moment = 4.56 μB/cell
Polymorph energy (0 for the lowest one) = 0.060 eV per atom

POSCAR file:
```
YZrCr2
1.0
-0.4270 -3.3659 -0.1224
2.0196 -0.3547 2.7059
-5.3866 0.5346 4.0904
Cr Y Zr
2 1 1
direct
0.0000 0.0000 0.9699
0.0000 0.0000 0.5301
0.5000 0.5000 0.2500
0.5000 0.5000 0.7500
```

no.,energy of formation (kJ per mole of atoms)
1,49.9
2,31.2